[1]
Here is a relaxed InFeSe2Cl crystal from the Alexandria database. Energies are from PBE.

V   108.51 Å³ per cell
Uncorrected formation energy   -10 kJ/mol of formula units
Space group   P4/mmm

a = 4.7338 Å, b = 4.7338 Å, c = 4.8423 Å
α = 90.00°, β = 90.00°, γ = 90.00°
Last column: nearest neighbours and their distance in Å.
Sites, in units of the cell vectors:
In  0.0000  0.0000  0.0000  4 Cl 3.35, 8 Se 3.39
Fe  0.5000  0.5000  0.5000  4 Se 2.37, 2 Cl 2.42
Se  0.0000  0.5000  0.5000  2 Fe 2.37
Se  0.5000  0.0000  0.5000  2 Fe 2.37
Cl  0.5000  0.5000  0.0000  2 Fe 2.42


[2]
Here is a relaxed In2FeSnCl6 crystal from the Alexandria database. Energies are from PBE.

V   314.57 Å³ per cell
Uncorrected formation energy   -777 kJ/mol of formula units
Space group   P4mm

a = 7.2813 Å, b = 7.2813 Å, c = 5.9334 Å
α = 90.00°, β = 90.00°, γ = 90.00°
Last column: nearest neighbours and their distance in Å.
Sites, in units of the cell vectors:
In  0.0000  0.5000  0.0000  4 Cl 3.18
In  0.5000  0.0000  0.0000  4 Cl 3.18
Fe  0.0000  0.0000  0.5677  5 Cl 2.22-2.46
Sn  0.5000  0.5000  0.6238  5 Cl 2.60-2.82
Cl  0.0000  0.0000  0.1928  1 Fe 2.22
Cl  0.2284  0.2284  0.6868  1 Fe 2.46
Cl  0.2284  0.7716  0.6868  1 Fe 2.46
Cl  0.5000  0.5000  0.0618  1 Sn 2.60
Cl  0.7716  0.2284  0.6868  1 Fe 2.46
Cl  0.7716  0.7716  0.6868  1 Fe 2.46


[3]
Here is a relaxed InFeSn2Cl crystal from the Alexandria database. Energies are from PBE.

V   121.15 Å³ per cell
Uncorrected formation energy   -136 kJ/mol of formula units
Space group   P4/mmm

a = 4.8775 Å, b = 4.8775 Å, c = 5.0926 Å
α = 90.00°, β = 90.00°, γ = 90.00°
Last column: nearest neighbours and their distance in Å.
Sites, in units of the cell vectors:
In  0.0000  0.0000  0.0000  2 Fe 2.55
Fe  0.0000  0.0000  0.5000  4 Sn 2.44, 2 In 2.55
Sn  0.0000  0.5000  0.5000  2 Fe 2.44
Sn  0.5000  0.0000  0.5000  2 Fe 2.44
Cl  0.5000  0.5000  0.0000  4 In 3.45, 8 Sn 3.53


[4]
Here is a relaxed TlInFe2Cl6 crystal from the Alexandria database. Energies are from PBE.

V   637.98 Å³ per cell
Uncorrected formation energy   -754 kJ/mol of formula units
Space group   C2/c

a = 9.5458 Å, b = 9.5458 Å, c = 7.1553 Å
α = 98.27°, β = 98.27°, γ = 86.46°
Last column: nearest neighbours and their distance in Å.
Sites, in units of the cell vectors:
Tl  0.1881  0.8119  0.7500  6 Cl 3.18-3.45
Tl  0.8119  0.1881  0.2500  6 Cl 3.18-3.45
In  0.4014  0.5986  0.2500  6 Cl 3.07-3.25
In  0.5986  0.4014  0.7500  6 Cl 3.07-3.25
Fe  0.1233  0.2984  0.7677  4 Cl 2.26-2.34
Fe  0.2984  0.1233  0.2677  4 Cl 2.26-2.34
Fe  0.7016  0.8767  0.7323  4 Cl 2.26-2.34
Fe  0.8767  0.7016  0.2323  4 Cl 2.26-2.34
Cl  0.0978  0.6288  0.3484  1 Fe 2.26
Cl  0.1147  0.1912  0.0403  2 Fe 2.34
Cl  0.1912  0.1147  0.5403  2 Fe 2.34
Cl  0.2740  0.4791  0.8273  1 Fe 2.27
Cl  0.3712  0.9022  0.1516  1 Fe 2.26
Cl  0.4791  0.2740  0.3273  1 Fe 2.27
Cl  0.5209  0.7260  0.6727  1 Fe 2.27
Cl  0.6288  0.0978  0.8484  1 Fe 2.26
Cl  0.7260  0.5209  0.1727  1 Fe 2.27
Cl  0.8088  0.8853  0.4597  2 Fe 2.34
Cl  0.8853  0.8088  0.9597  2 Fe 2.34
Cl  0.9022  0.3712  0.6516  1 Fe 2.26